First-principles (PBE-GGA) data for crystalline La4MgZn2 at its relaxed geometry, as listed in Alexandria.

Unit cell a=9.191 b=9.191 c=9.191 alpha=34.09 beta=34.09 gamma=34.09
Fractional positions:
La  0.117  0.117  0.117
La  0.283  0.283  0.283
La  0.717  0.717  0.717
La  0.883  0.883  0.883
Mg  0.500  0.500  0.500
Zn  0.401  0.401  0.401
Zn  0.599  0.599  0.599

Output
Space-group type: R-3m
Relative energy among the computed polymorphs (eV per atom): 0.096

First-principles (PBE-GGA) data for crystalline Sr3ZrRu at its relaxed geometry, as listed in Alexandria.

Unit cell a=5.693 b=5.693 c=5.693 alpha=90.00 beta=90.00 gamma=90.00
Fractional positions:
Sr  0.000  0.000  0.500
Sr  0.000  0.500  0.000
Sr  0.500  0.000  0.000
Zr  0.500  0.500  0.500
Ru  0.000  0.000  0.000

Output
Space-group type: Pm-3m
DFT total energy (eV/atom): -3.755

First-principles (PBE-GGA) data for crystalline KMg2Pd at its relaxed geometry, as listed in Alexandria.

Unit cell a=9.239 b=9.239 c=9.239 alpha=141.99 beta=141.99 gamma=54.85
Fractional positions:
K  0.375  0.625  0.750
K  0.625  0.375  0.250
Mg  0.000  0.000  0.000
Mg  0.000  0.000  0.500
Mg  0.000  0.500  0.000
Mg  0.500  0.000  0.500
Pd  0.125  0.875  0.250
Pd  0.875  0.125  0.750

Output
Space-group type: I4_1/amd
Relative energy among the computed polymorphs (eV per atom): 0.000

First-principles (PBE-GGA) data for crystalline GaGeH at its relaxed geometry, as listed in Alexandria.

Unit cell a=6.782 b=4.402 c=6.904 alpha=90.00 beta=90.00 gamma=90.00
Fractional positions:
Ga  0.137  0.250  0.028
Ga  0.363  0.750  0.528
Ga  0.637  0.250  0.472
Ga  0.863  0.750  0.972
Ge  0.247  0.250  0.374
Ge  0.253  0.750  0.874
Ge  0.747  0.250  0.126
Ge  0.753  0.750  0.626
H  0.079  0.250  0.531
H  0.421  0.750  0.031
H  0.579  0.250  0.969
H  0.921  0.750  0.469

Output
Space-group type: Pnma
Relative energy among the computed polymorphs (eV per atom): 0.068

First-principles (PBE-GGA) data for crystalline NaLa2SiS at its relaxed geometry, as listed in Alexandria.

Unit cell a=5.490 b=5.490 c=4.892 alpha=90.00 beta=90.00 gamma=90.00
Fractional positions:
Na  0.000  0.000  0.000
La  0.000  0.500  0.500
La  0.500  0.000  0.500
Si  0.500  0.500  0.000
S  0.000  0.000  0.500

Output
Space-group type: P4/mmm
Formation energy (no corrections) (eV/atom): -0.6869

First-principles (PBE-GGA) data for crystalline Tb4CoGe8 at its relaxed geometry, as listed in Alexandria.

Unit cell a=4.017 b=4.116 c=16.117 alpha=90.00 beta=90.00 gamma=90.00
Fractional positions:
Tb  0.000  0.000  0.000
Tb  0.000  0.500  0.498
Tb  0.500  0.000  0.790
Tb  0.500  0.500  0.291
Co  0.000  0.500  0.706
Ge  0.000  0.000  0.341
Ge  0.000  0.000  0.636
Ge  0.000  0.500  0.144
Ge  0.000  0.500  0.849
Ge  0.500  0.000  0.148
Ge  0.500  0.000  0.446
Ge  0.500  0.500  0.636
Ge  0.500  0.500  0.951

Output
Space-group type: Pmm2
DFT total energy (eV/atom): -5.453

First-principles (PBE-GGA) data for crystalline TmPuGaFe at its relaxed geometry, as listed in Alexandria.

Unit cell a=4.877 b=4.877 c=4.877 alpha=60.00 beta=60.00 gamma=60.00
Fractional positions:
Tm  0.000  0.000  0.000
Pu  0.500  0.500  0.500
Ga  0.250  0.250  0.250
Fe  0.750  0.750  0.750

Output
Space-group type: F-43m
DFT total energy (eV/atom): -7.684

First-principles (PBE-GGA) data for crystalline Tb6CdHg3 at its relaxed geometry, as listed in Alexandria.

Unit cell a=9.387 b=5.234 c=11.635 alpha=90.00 beta=106.65 gamma=90.00
Fractional positions:
Tb  0.026  0.250  0.400
Tb  0.151  0.750  0.186
Tb  0.251  0.250  0.005
Tb  0.347  0.750  0.822
Tb  0.376  0.250  0.338
Tb  0.382  0.250  0.614
Tb  0.618  0.750  0.386
Tb  0.624  0.750  0.662
Tb  0.653  0.250  0.178
Tb  0.749  0.750  0.995
Tb  0.849  0.250  0.814
Tb  0.974  0.750  0.600
Cd  0.449  0.750  0.114
Cd  0.551  0.250  0.886
Hg  0.031  0.750  0.885
Hg  0.132  0.250  0.725
Hg  0.277  0.750  0.470
Hg  0.723  0.250  0.530
Hg  0.868  0.750  0.275
Hg  0.969  0.250  0.115

Output
Space-group type: P2_1/m
DFT total energy (eV/atom): -3.273

First-principles (PBE-GGA) data for crystalline TlGeO2 at its relaxed geometry, as listed in Alexandria.

Unit cell a=4.299 b=4.299 c=4.299 alpha=60.00 beta=60.00 gamma=60.00
Fractional positions:
Tl  0.000  0.000  0.000
Ge  0.500  0.500  0.500
O  0.250  0.250  0.250
O  0.750  0.750  0.750

Output
Space-group type: Fm-3m
Relative energy among the computed polymorphs (eV per atom): 0.831
Formation energy (no corrections) (eV/atom): -0.1661

First-principles (PBE-GGA) data for crystalline BeCu2W at its relaxed geometry, as listed in Alexandria.

Unit cell a=2.572 b=3.963 c=4.937 alpha=90.00 beta=102.63 gamma=90.00
Fractional positions:
Be  0.000  0.000  0.000
Cu  0.160  0.500  0.770
Cu  0.840  0.500  0.230
W  0.500  0.000  0.500

Output
Space-group type: P2/m
Relative energy among the computed polymorphs (eV per atom): 0.176

First-principles (PBE-GGA) data for crystalline Mn2FeCu at its relaxed geometry, as listed in Alexandria.

Unit cell a=2.550 b=2.550 c=7.192 alpha=90.00 beta=90.00 gamma=90.00
Fractional positions:
Mn  0.000  0.000  0.000
Mn  0.500  0.500  0.241
Fe  0.500  0.500  0.760
Cu  0.000  0.000  0.504

Output
Space-group type: P4mm
Relative energy among the computed polymorphs (eV per atom): 0.027

First-principles (PBE-GGA) data for crystalline Nd4RuCBr2 at its relaxed geometry, as listed in Alexandria.

Unit cell a=7.008 b=3.952 c=7.914 alpha=90.00 beta=105.51 gamma=90.00
Fractional positions:
Nd  0.222  0.000  0.178
Nd  0.241  0.500  0.808
Nd  0.759  0.500  0.192
Nd  0.778  0.000  0.822
Ru  0.500  0.000  0.000
C  0.000  0.500  0.000
Br  0.000  0.000  0.500
Br  0.500  0.500  0.500

Output
Space-group type: P2/m
Formation energy (no corrections) (eV/atom): -0.7879

First-principles (PBE-GGA) data for crystalline Mg2Sc5TlPd2 at its relaxed geometry, as listed in Alexandria.

Unit cell a=11.386 b=11.386 c=3.504 alpha=90.00 beta=90.00 gamma=90.00
Fractional positions:
Mg  0.172  0.328  0.000
Mg  0.328  0.828  0.000
Mg  0.672  0.172  0.000
Mg  0.828  0.672  0.000
Sc  0.000  0.500  0.500
Sc  0.072  0.795  0.500
Sc  0.205  0.072  0.500
Sc  0.295  0.572  0.500
Sc  0.428  0.295  0.500
Sc  0.500  0.000  0.500
Sc  0.572  0.705  0.500
Sc  0.705  0.428  0.500
Sc  0.795  0.928  0.500
Sc  0.928  0.205  0.500
Tl  0.000  0.000  0.000
Tl  0.500  0.500  0.000
Pd  0.128  0.628  0.000
Pd  0.372  0.128  0.000
Pd  0.628  0.872  0.000
Pd  0.872  0.372  0.000

Output
Space-group type: P4/mbm
DFT total energy (eV/atom): -5.171

First-principles (PBE-GGA) data for crystalline Nd3Mg2Ru3C at its relaxed geometry, as listed in Alexandria.

Unit cell a=7.832 b=7.832 c=3.464 alpha=90.00 beta=90.00 gamma=120.00
Fractional positions:
Nd  0.000  0.341  0.000
Nd  0.341  0.000  0.000
Nd  0.659  0.659  0.000
Mg  0.333  0.667  0.500
Mg  0.667  0.333  0.500
Ru  0.000  0.794  0.500
Ru  0.206  0.206  0.500
Ru  0.794  0.000  0.500
C  0.000  0.000  0.000

Output
Space-group type: P-62m
DFT total energy (eV/atom): -5.861

First-principles (PBE-GGA) data for crystalline CaTaRh at its relaxed geometry, as listed in Alexandria.

Unit cell a=3.218 b=3.218 c=6.998 alpha=90.00 beta=90.00 gamma=120.00
Fractional positions:
Ca  0.000  0.000  0.000
Ta  0.333  0.667  0.597
Rh  0.667  0.333  0.343

Output
Space-group type: P3m1
Relative energy among the computed polymorphs (eV per atom): 0.484

First-principles (PBE-GGA) data for crystalline Ca2MgTc at its relaxed geometry, as listed in Alexandria.

Unit cell a=10.835 b=10.835 c=10.835 alpha=17.69 beta=17.69 gamma=17.69
Fractional positions:
Ca  0.236  0.236  0.236
Ca  0.764  0.764  0.764
Mg  0.000  0.000  0.000
Tc  0.500  0.500  0.500

Output
Space-group type: R-3m
DFT total energy (eV/atom): -3.481

First-principles (PBE-GGA) data for crystalline Li2TlSb at its relaxed geometry, as listed in Alexandria.

Unit cell a=3.465 b=4.993 c=4.993 alpha=90.00 beta=90.00 gamma=90.00
Fractional positions:
Li  0.000  0.000  0.000
Li  0.000  0.500  0.491
Tl  0.500  0.000  0.499
Sb  0.500  0.500  0.992

Output
Space-group type: Pmm2
Formation energy (no corrections) (eV/atom): -0.3582

First-principles (PBE-GGA) data for crystalline SrCaTbPr at its relaxed geometry, as listed in Alexandria.

Unit cell a=6.052 b=6.052 c=6.052 alpha=60.00 beta=60.00 gamma=60.00
Fractional positions:
Sr  0.000  0.000  0.000
Ca  0.250  0.250  0.250
Tb  0.750  0.750  0.750
Pr  0.500  0.500  0.500

Output
Space-group type: F-43m
DFT total energy (eV/atom): -3.106

First-principles (PBE-GGA) data for crystalline Cs2InHg2Br4 at its relaxed geometry, as listed in Alexandria.

Unit cell a=7.556 b=7.556 c=7.556 alpha=109.98 beta=109.98 gamma=108.46
Fractional positions:
Cs  0.250  0.750  0.500
Cs  0.750  0.250  0.500
In  0.000  0.000  0.000
Hg  0.331  0.331  0.000
Hg  0.669  0.669  0.000
Br  0.238  0.238  0.476
Br  0.238  0.762  0.000
Br  0.762  0.238  0.000
Br  0.762  0.762  0.524

Output
Space-group type: I4/mmm
Formation energy (no corrections) (eV/atom): -1.0346

First-principles (PBE-GGA) data for crystalline CsTlSn2Cl6 at its relaxed geometry, as listed in Alexandria.

Unit cell a=9.488 b=9.488 c=11.759 alpha=121.94 beta=121.94 gamma=65.65
Fractional positions:
Cs  0.168  0.832  0.750
Cs  0.832  0.168  0.250
Tl  0.311  0.689  0.250
Tl  0.689  0.311  0.750
Sn  0.274  0.318  0.314
Sn  0.318  0.274  0.814
Sn  0.682  0.726  0.186
Sn  0.726  0.682  0.686
Cl  0.025  0.207  0.686
Cl  0.207  0.025  0.186
Cl  0.208  0.591  0.914
Cl  0.258  0.376  0.548
Cl  0.376  0.258  0.048
Cl  0.409  0.792  0.586
Cl  0.591  0.208  0.414
Cl  0.624  0.742  0.952
Cl  0.742  0.624  0.452
Cl  0.792  0.409  0.086
Cl  0.793  0.975  0.814
Cl  0.975  0.793  0.314

Output
Space-group type: C2/c
Formation energy (no corrections) (eV/atom): -1.2226

| no. | total magnetization (Bohr magnetons per cell) |
| --- | --- |
| 1 | 0.00 |
| 2 | 2.94 |
| 3 | 0.00 |
| 4 | 0.00 |
| 5 | 0.00 |
| 6 | 0.00 |
| 7 | 3.56 |
| 8 | 0.00 |
| 9 | 0.00 |
| 10 | 0.00 |
| 11 | 2.70 |
| 12 | 0.00 |
| 13 | 0.00 |
| 14 | 0.00 |
| 15 | 0.19 |
| 16 | 0.75 |
| 17 | 0.00 |
| 18 | 0.00 |
| 19 | 0.00 |
| 20 | 0.00 |